1.
RbBa3Ga: relaxed, GGA-PBE.

Symmetry: No. 221
Energy above the most stable polymorph in this dataset in eV/atom: 0.000
Calculated total energy in eV/atom: -2.00
ρ in g/cm3: 3.066
Formation energy in kcal/mol of atoms: -1.14

a = 6.7473 Å, b = 6.7473 Å, c = 6.7473 Å
α = 90.00°, β = 90.00°, γ = 90.00°
Closest atoms and distances in Å follow each position.
Sites, in units of the cell vectors:
Rb (0.0000, 0.0000, 0.0000)  12 Ba 4.77
Ba (0.0000, 0.5000, 0.5000)  2 Ga 3.37
Ba (0.5000, 0.0000, 0.5000)  2 Ga 3.37
Ba (0.5000, 0.5000, 0.0000)  2 Ga 3.37
Ga (0.5000, 0.5000, 0.5000)  6 Ba 3.37

2.
Tb4Sm5Ho3: relaxed, GGA-PBE.

Symmetry: No. 2
Energy above the most stable polymorph in this dataset in eV/atom: 0.000
Calculated total energy in eV/atom: -4.64
ρ in g/cm3: 8.046
Formation energy in kcal/mol of atoms: 0.34

a = 6.1964 Å, b = 7.1552 Å, c = 8.7618 Å
α = 90.05°, β = 90.14°, γ = 90.15°
Closest atoms and distances in Å follow each position.
Sites, in units of the cell vectors:
Tb (0.1659, 0.9999, 0.1653)  4 Tb 3.55-3.58, 3 Ho 3.56-3.58, 5 Sm 3.58-3.59
Tb (0.3340, 0.2498, 0.8340)  4 Ho 3.56-3.58, 5 Sm 3.56-3.59, 3 Tb 3.57-3.58
Tb (0.6660, 0.7502, 0.1660)  4 Ho 3.56-3.58, 5 Sm 3.56-3.59, 3 Tb 3.57-3.58
Tb (0.8341, 0.0001, 0.8347)  4 Tb 3.55-3.58, 3 Ho 3.56-3.58, 5 Sm 3.58-3.59
Sm (0.0007, 0.7502, 0.5001)  6 Sm 3.57-3.59, 3 Ho 3.58, 3 Tb 3.58-3.59
Sm (0.1680, 0.4999, 0.1657)  5 Tb 3.56-3.59, 4 Ho 3.57-3.58, 3 Sm 3.57-3.59
Sm (0.5000, 0.0000, 0.5000)  4 Sm 3.57-3.58, 4 Ho 3.58, 4 Tb 3.58-3.59
Sm (0.8320, 0.5001, 0.8343)  5 Tb 3.56-3.59, 4 Ho 3.57-3.58, 3 Sm 3.57-3.59
Sm (0.9993, 0.2498, 0.4999)  6 Sm 3.57-3.59, 3 Ho 3.58, 3 Tb 3.58-3.59
Ho (0.3334, 0.7506, 0.8340)  6 Tb 3.56-3.58, 5 Sm 3.57-3.58, 1 Ho 3.59
Ho (0.5000, 0.5000, 0.5000)  8 Sm 3.58, 2 Tb 3.58, 2 Ho 3.59
Ho (0.6666, 0.2494, 0.1660)  6 Tb 3.56-3.58, 5 Sm 3.57-3.58, 1 Ho 3.59

3.
Cs2CuPO4: relaxed, GGA-PBE.

Symmetry: No. 70
Calculated total energy in eV/atom: -5.65
ρ in g/cm3: 4.190

a = 12.1770 Å, b = 10.8594 Å, c = 6.6362 Å
α = 84.55°, β = 62.59°, γ = 32.86°
Closest atoms and distances in Å follow each position.
Sites, in units of the cell vectors:
Cs (0.0475, 0.0475, 0.7025)  6 O 3.19-3.35
Cs (0.2975, 0.2975, 0.9525)  6 O 3.19-3.35
Cs (0.7025, 0.7025, 0.0475)  6 O 3.19-3.35
Cs (0.9525, 0.9525, 0.2975)  6 O 3.19-3.35
Cu (0.1250, 0.1250, 0.1250)  4 O 2.10
Cu (0.8750, 0.8750, 0.8750)  4 O 2.10
P (0.3750, 0.3750, 0.3750)  4 O 1.57
P (0.6250, 0.6250, 0.6250)  4 O 1.57
O (0.0806, 0.5859, 0.5210)  1 P 1.57
O (0.3126, 0.5210, 0.5859)  1 P 1.57
O (0.4141, 0.9194, 0.6874)  1 P 1.57
O (0.4790, 0.6874, 0.9194)  1 P 1.57
O (0.5210, 0.3126, 0.0806)  1 P 1.57
O (0.5859, 0.0806, 0.3126)  1 P 1.57
O (0.6874, 0.4790, 0.4141)  1 P 1.57
O (0.9194, 0.4141, 0.4790)  1 P 1.57